# 1
ZrReCl: optimized geometry, PBE.

Computed properties:
DOS(E_F) ... 4.48 states/eV per cell
ΔE_f (raw) ... 0.919 eV per atom
Energy ... -20.09 eV per cell

Unit cell a=4.402 b=4.402 c=4.402 alpha=60.00 beta=60.00 gamma=60.00
Fractional coordinates of all 3 atoms:
Cl (0.500, 0.500, 0.500)
Re (0.750, 0.750, 0.750)
Zr (0.000, 0.000, 0.000)



# 2
FeHg2Pd2: optimized geometry, PBE.

Computed properties:
DOS(E_F) ... 9.41 states/eV per cell
Energy ... -37.67 eV per cell

Unit cell a=6.648 b=6.648 c=4.170 alpha=90.00 beta=90.00 gamma=90.00
Last column: magnetic moment on the atom in μB.
Fractional coordinates of all 10 atoms:
Hg (0.165, 0.665, 0.500)  -0.01
Hg (0.665, 0.835, 0.500)  -0.01
Hg (0.835, 0.335, 0.500)  -0.01
Hg (0.335, 0.165, 0.500)  -0.01
Pd (0.356, 0.856, 0.000)  0.12
Pd (0.856, 0.644, 0.000)  0.12
Pd (0.644, 0.144, 0.000)  0.12
Pd (0.144, 0.356, 0.000)  0.12
Fe (0.000, 0.000, 0.000)  3.17
Fe (0.500, 0.500, 0.000)  3.17



# 3
Pu2PaIn: optimized geometry, PBE.

Computed properties:
DOS(E_F) ... 10.16 states/eV per cell
Energy ... -40.86 eV per cell

Unit cell a=4.729 b=4.628 c=4.628 alpha=90.00 beta=90.00 gamma=90.00
Last column: magnetic moment on the atom in μB.
Fractional coordinates of all 4 atoms:
Pa (0.500, 0.500, 0.500)  0.76
In (0.500, 0.000, 0.000)  -0.05
Pu (0.000, 0.000, 0.500)  5.33
Pu (0.000, 0.500, 0.000)  5.33



# 4
AlTlVPd2: optimized geometry, PBE.

Computed properties:
DOS(E_F) ... 5.80 states/eV per cell
Energy ... -21.75 eV per cell

Unit cell a=4.531 b=5.078 c=4.531 alpha=90.00 beta=90.00 gamma=90.00
Last column: magnetic moment on the atom in μB.
Fractional coordinates of all 5 atoms:
Tl (0.000, 0.500, 0.000)  0.01
Al (0.000, 0.000, 0.000)  0.00
Pd (0.000, 0.000, 0.500)  0.02
Pd (0.500, 0.000, 0.000)  0.00
V (0.500, 0.500, 0.500)  -0.15



# 5
HfBePt: optimized geometry, PBE.

Computed properties:
DOS(E_F) ... 6.35 states/eV per cell
Energy ... -89.37 eV per cell

Unit cell a=3.854 b=7.375 c=6.300 alpha=90.00 beta=90.00 gamma=90.00
Fractional coordinates of all 12 atoms:
Hf (0.250, 0.810, 0.479)
Hf (0.750, 0.310, 0.021)
Hf (0.250, 0.690, 0.979)
Hf (0.750, 0.190, 0.521)
Be (0.750, 0.614, 0.288)
Be (0.750, 0.886, 0.788)
Be (0.250, 0.114, 0.212)
Be (0.250, 0.386, 0.712)
Pt (0.750, 0.933, 0.168)
Pt (0.750, 0.567, 0.668)
Pt (0.250, 0.067, 0.832)
Pt (0.250, 0.433, 0.332)



# 6
Cd2FeRuW: optimized geometry, PBE.

Computed properties:
DOS(E_F) ... 5.33 states/eV per cell
Energy ... -25.29 eV per cell

Unit cell a=4.777 b=4.353 c=4.777 alpha=90.00 beta=90.00 gamma=90.00
Last column: magnetic moment on the atom in μB.
Fractional coordinates of all 5 atoms:
Ru (0.500, 0.500, 0.500)  1.50
Fe (0.000, 0.000, 0.000)  0.90
W (0.000, 0.500, 0.000)  -0.13
Cd (0.000, 0.000, 0.500)  0.01
Cd (0.500, 0.000, 0.000)  -0.01